## LaYAs2 (PBE)

Data for an optimized crystal structure of LaYAs2.

Results
ΔH_f (0 K) = -4.55 eV per formula unit
E above lowest polymorph = 0.419 eV per atom

CIF file:
```
data_LaYAs2
_chemical_formula_sum 'La4 Y4 As8'
_space_group_name_H-M_alt 'F m -3 m'
_space_group_IT_number 225
_space_group_name_Hall '-F 4 2 3'
_cell_length_a 7.325
_cell_length_b 7.325
_cell_length_c 7.325
_cell_angle_alpha 90.00
_cell_angle_beta 90.00
_cell_angle_gamma 90.00
loop_
_atom_site_label
_atom_site_type_symbol
_atom_site_fract_x
_atom_site_fract_y
_atom_site_fract_z
La1 La 0.000 0.000 0.000
Y1 Y 0.000 0.000 0.500
As1 As 0.250 0.250 0.250
```

=====

## LiLaAgBi (PBE)

Data for an optimized crystal structure of LiLaAgBi.

Results
ΔH_f (0 K) = -1.95 eV per formula unit

CIF file:
```
data_LiLaAgBi
_chemical_formula_sum 'Li4 La4 Ag4 Bi4'
_space_group_name_H-M_alt 'F -4 3 m'
_space_group_IT_number 216
_space_group_name_Hall 'F -4 2 3'
_cell_length_a 7.525
_cell_length_b 7.525
_cell_length_c 7.525
_cell_angle_alpha 90.00
_cell_angle_beta 90.00
_cell_angle_gamma 90.00
loop_
_atom_site_label
_atom_site_type_symbol
_atom_site_fract_x
_atom_site_fract_y
_atom_site_fract_z
Li1 Li 0.000 0.000 0.000
La1 La 0.000 0.000 0.500
Ag1 Ag 0.250 0.250 0.250
Bi1 Bi 0.250 0.250 0.750
```

=====

## Pm2PCl2 (PBE)

Data for an optimized crystal structure of Pm2PCl2.

Results
Energy relative to the elements, uncorrected = -1962 meV/atom

CIF file:
```
data_Pm2PCl2
_chemical_formula_sum 'Pm6 P3 Cl6'
_space_group_name_H-M_alt 'R -3 m'
_space_group_IT_number 166
_space_group_name_Hall '-R 3 2"'
_cell_length_a 4.0780
_cell_length_b 4.0780
_cell_length_c 30.4150
_cell_angle_alpha 90.00
_cell_angle_beta 90.00
_cell_angle_gamma 120.00
loop_
_atom_site_label
_atom_site_type_symbol
_atom_site_fract_x
_atom_site_fract_y
_atom_site_fract_z
Pm1 Pm 0.0000 0.0000 0.1141
P1 P 0.0000 0.0000 0.5000
Cl1 Cl 0.0000 0.0000 0.2741
```

=====

## SrNb2CuAu (PBE)

Data for an optimized crystal structure of SrNb2CuAu.

Results
ΔH_f (0 K) = 4.76 eV per formula unit

CIF file:
```
data_SrNb2CuAu
_chemical_formula_sum 'Sr1 Nb2 Cu1 Au1'
_space_group_name_H-M_alt 'P 4/m m m'
_space_group_IT_number 123
_space_group_name_Hall '-P 4 2'
_cell_length_a 4.741
_cell_length_b 4.741
_cell_length_c 5.552
_cell_angle_alpha 90.00
_cell_angle_beta 90.00
_cell_angle_gamma 90.00
loop_
_atom_site_label
_atom_site_type_symbol
_atom_site_fract_x
_atom_site_fract_y
_atom_site_fract_z
Sr1 Sr 0.000 0.000 0.000
Nb1 Nb 0.000 0.500 0.500
Cu1 Cu 0.000 0.000 0.500
Au1 Au 0.500 0.500 0.000
```

=====

## TbBeO3 (PBE)

Data for an optimized crystal structure of TbBeO3.

Results
Energy relative to the elements, uncorrected = -2485 meV/atom

CIF file:
```
data_TbBeO3
_chemical_formula_sum 'Tb1 Be1 O3'
_space_group_name_H-M_alt 'P m -3 m'
_space_group_IT_number 221
_space_group_name_Hall '-P 4 2 3'
_cell_length_a 3.583
_cell_length_b 3.583
_cell_length_c 3.583
_cell_angle_alpha 90.00
_cell_angle_beta 90.00
_cell_angle_gamma 90.00
loop_
_atom_site_label
_atom_site_type_symbol
_atom_site_fract_x
_atom_site_fract_y
_atom_site_fract_z
Tb1 Tb 0.000 0.000 0.000
Be1 Be 0.500 0.500 0.500
O1 O 0.000 0.500 0.500
```

=====

## Cd8In6Sn (PBE)

Data for an optimized crystal structure of Cd8In6Sn.

Results
ΔH_f (0 K) = 0.99 eV per formula unit

CIF file:
```
data_Cd8In6Sn
_chemical_formula_sum 'Cd24 In18 Sn3'
_space_group_name_H-M_alt 'R -3'
_space_group_IT_number 148
_space_group_name_Hall '-R 3'
_cell_length_a 8.1972
_cell_length_b 8.1972
_cell_length_c 20.2312
_cell_angle_alpha 90.00
_cell_angle_beta 90.00
_cell_angle_gamma 120.00
loop_
_atom_site_label
_atom_site_type_symbol
_atom_site_fract_x
_atom_site_fract_y
_atom_site_fract_z
Cd1 Cd 0.0000 0.0000 0.2423
Cd2 Cd 0.0089 0.3009 0.1349
In1 In 0.0088 0.2459 0.6235
Sn1 Sn 0.0000 0.0000 0.0000
```

=====

## LiPmHg2 (PBE)

Data for an optimized crystal structure of LiPmHg2.

Results
ΔH_f (0 K) = -1.56 eV per formula unit
E above lowest polymorph = 0.066 eV per atom

CIF file:
```
data_LiPmHg2
_chemical_formula_sum 'Li1 Pm1 Hg2'
_space_group_name_H-M_alt 'P 4/m m m'
_space_group_IT_number 123
_space_group_name_Hall '-P 4 2'
_cell_length_a 3.504
_cell_length_b 3.504
_cell_length_c 7.474
_cell_angle_alpha 90.00
_cell_angle_beta 90.00
_cell_angle_gamma 90.00
loop_
_atom_site_label
_atom_site_type_symbol
_atom_site_fract_x
_atom_site_fract_y
_atom_site_fract_z
Li1 Li 0.000 0.000 0.000
Pm1 Pm 0.000 0.000 0.500
Hg1 Hg 0.500 0.500 0.210
```

=====

## Y2CO (PBE)

Data for an optimized crystal structure of Y2CO.

Results
Energy relative to the elements, uncorrected = -1499 meV/atom
E above lowest polymorph = 0.226 eV per atom

CIF file:
```
data_Y2CO
_chemical_formula_sum 'Y8 C4 O4'
_space_group_name_H-M_alt 'I -4 2 d'
_space_group_IT_number 122
_space_group_name_Hall 'I -4 2bw'
_cell_length_a 5.261
_cell_length_b 5.261
_cell_length_c 11.065
_cell_angle_alpha 90.00
_cell_angle_beta 90.00
_cell_angle_gamma 90.00
loop_
_atom_site_label
_atom_site_type_symbol
_atom_site_fract_x
_atom_site_fract_y
_atom_site_fract_z
Y1 Y 0.244 0.250 0.125
C1 C 0.000 0.000 0.500
O1 O 0.000 0.000 0.000
```

=====

## Sm4InGa (PBE)

Data for an optimized crystal structure of Sm4InGa.

Results
ΔH_f (0 K) = -0.74 eV per formula unit
E above lowest polymorph = 0.043 eV per atom

CIF file:
```
data_Sm4InGa
_chemical_formula_sum 'Sm4 In1 Ga1'
_space_group_name_H-M_alt 'P 1 2/m 1'
_space_group_IT_number 10
_cell_length_a 5.768
_cell_length_b 3.796
_cell_length_c 8.513
_cell_angle_alpha 90.00
_cell_angle_beta 90.15
_cell_angle_gamma 90.00
loop_
_space_group_symop_operation_xyz
'x,y,z'
'-x,-y,-z'
'-x,y,-z'
'x,-y,z'
loop_
_atom_site_label
_atom_site_type_symbol
_atom_site_fract_x
_atom_site_fract_y
_atom_site_fract_z
Sm1 Sm 0.001 0.000 0.223
Sm2 Sm 0.499 0.500 0.700
In1 In 0.500 0.000 0.000
Ga1 Ga 0.000 0.500 0.500
```

=====

## Rb4U3FeN8 (PBE)

Data for an optimized crystal structure of Rb4U3FeN8.

Results
Energy relative to the elements, uncorrected = -641 meV/atom

CIF file:
```
data_Rb4U3FeN8
_chemical_formula_sum 'Rb12 U9 Fe3 N24'
_space_group_name_H-M_alt 'R -3 m'
_space_group_IT_number 166
_space_group_name_Hall '-R 3 2"'
_cell_length_a 6.9613
_cell_length_b 6.9613
_cell_length_c 19.9347
_cell_angle_alpha 90.00
_cell_angle_beta 90.00
_cell_angle_gamma 120.00
loop_
_atom_site_label
_atom_site_type_symbol
_atom_site_fract_x
_atom_site_fract_y
_atom_site_fract_z
Rb1 Rb 0.0000 0.0000 0.0000
Rb2 Rb 0.0000 0.5000 0.0000
U1 U 0.0000 0.5000 0.5000
Fe1 Fe 0.0000 0.0000 0.5000
N1 N 0.0000 0.0000 0.2190
N2 N 0.0232 0.5116 0.7829
```

=====

## Ce3Er2Ru4 (PBE)

Data for an optimized crystal structure of Ce3Er2Ru4.

Results
ΔH_f (0 K) = -3.38 eV per formula unit
E above lowest polymorph = 0.000 eV per atom

CIF file:
```
data_Ce3Er2Ru4
_chemical_formula_sum 'Ce12 Er8 Ru16'
_space_group_name_H-M_alt 'C 1 2/c 1'
_space_group_IT_number 15
_cell_length_a 10.377
_cell_length_b 9.752
_cell_length_c 8.361
_cell_angle_alpha 90.00
_cell_angle_beta 99.31
_cell_angle_gamma 90.00
loop_
_space_group_symop_operation_xyz
'x,y,z'
'-x,-y,-z'
'-x,y,-z+1/2'
'x,-y,z+1/2'
'x+1/2,y+1/2,z'
'-x+1/2,-y+1/2,-z'
'-x+1/2,y+1/2,-z+1/2'
'x+1/2,-y+1/2,z+1/2'
loop_
_atom_site_label
_atom_site_type_symbol
_atom_site_fract_x
_atom_site_fract_y
_atom_site_fract_z
Ce1 Ce 0.000 0.137 0.250
Ce2 Ce 0.195 0.153 0.662
Er1 Er 0.094 0.374 0.944
Ru1 Ru 0.114 0.090 0.024
Ru2 Ru 0.201 0.396 0.651
```

=====

## BaLa (PBE)

Data for an optimized crystal structure of BaLa.

Results
ΔH_f (0 K) = 0.63 eV per formula unit
E above lowest polymorph = 0.216 eV per atom

CIF file:
```
data_BaLa
_chemical_formula_sum 'Ba16 La16'
_space_group_name_H-M_alt 'F d d d'
_space_group_IT_number 70
_cell_length_a 6.762
_cell_length_b 11.561
_cell_length_c 20.058
_cell_angle_alpha 90.00
_cell_angle_beta 90.00
_cell_angle_gamma 90.00
loop_
_space_group_symop_operation_xyz
'x,y,z'
'-x,-y,-z'
'-x+1/4,-y+1/4,z'
'x+1/4,y+1/4,-z'
'x,-y+1/4,-z+1/4'
'-x,y+1/4,z+1/4'
'-x+1/4,y,-z+1/4'
'x+1/4,-y,z+1/4'
'x,y+1/2,z+1/2'
'-x,-y+1/2,-z+1/2'
'-x+1/4,-y+3/4,z+1/2'
'x+1/4,y+3/4,-z+1/2'
'x,-y+3/4,-z+3/4'
'-x,y+3/4,z+3/4'
'-x+1/4,y+1/2,-z+3/4'
'x+1/4,-y+1/2,z+3/4'
'x+1/2,y,z+1/2'
'-x+1/2,-y,-z+1/2'
'-x+3/4,-y+1/4,z+1/2'
'x+3/4,y+1/4,-z+1/2'
'x+1/2,-y+1/4,-z+3/4'
'-x+1/2,y+1/4,z+3/4'
'-x+3/4,y,-z+3/4'
'x+3/4,-y,z+3/4'
'x+1/2,y+1/2,z'
'-x+1/2,-y+1/2,-z'
'-x+3/4,-y+3/4,z'
'x+3/4,y+3/4,-z'
'x+1/2,-y+3/4,-z+1/4'
'-x+1/2,y+3/4,z+1/4'
'-x+3/4,y+1/2,-z+1/4'
'x+3/4,-y+1/2,z+1/4'
loop_
_atom_site_label
_atom_site_type_symbol
_atom_site_fract_x
_atom_site_fract_y
_atom_site_fract_z
Ba1 Ba 0.125 0.289 0.125
La1 La 0.125 0.125 0.543
```